This record from the Alexandria database describes a relaxed KCoN2O crystal. The functional is PBE+U.

Geometry as CIF:
```
data_KCoN2O
_space_group_name_H-M_alt 'P 4/m m m'
_space_group_IT_number 123
_space_group_name_Hall '-P 4 2'
_cell_length_a 3.873
_cell_length_b 3.873
_cell_length_c 4.033
_cell_angle_alpha 90.00
_cell_angle_beta 90.00
_cell_angle_gamma 90.00
loop_
_atom_site_label
_atom_site_fract_x
_atom_site_fract_y
_atom_site_fract_z
K1 0.000 0.000 0.000
Co1 0.500 0.500 0.500
N1 0.000 0.500 0.500
O1 0.500 0.500 0.000
```

calculated volume = 60.5 Å³ per cell
calculated total energy = -4.862 eV/atom
total magnetic moment = 5.6 Bohr magnetons per cell
density of states at the Fermi level = 1.4 states/eV/f.u.